Entry 1:
## BaPmCdPb (PBE)

Data for a relaxed BaPmCdPb crystal.

abc: 5.757 5.757 5.757
angles: 60.00 60.00 60.00
Positions (direct):
Pb 0.250 0.250 0.250
Cd 0.750 0.750 0.750
Ba 0.000 0.000 0.000
Pm 0.500 0.500 0.500

Values from the calculation:
calculated formation energy	-33.0	kJ per mole of atoms
space-group type	No. 216
total magnetic moment	0.00	μB/atom
volume	134.9	Å³/f.u.



Entry 2:
## BaCd2PtPb (PBE)

Data for a relaxed BaCd2PtPb crystal.

abc: 5.302 5.302 5.450
angles: 90.00 90.00 90.00
Positions (direct):
Pb 0.000 0.000 0.500
Ba 0.500 0.500 0.500
Pt 0.000 0.000 0.000
Cd 0.000 0.500 0.000
Cd 0.500 0.000 0.000

Values from the calculation:
calculated formation energy	-30.2	kJ per mole of atoms
space-group type	No. 123
total magnetic moment	0.00	μB/atom
volume	153.2	Å³/f.u.
polymorph energy (0 for the lowest one)	0.097	eV/atom